## Rb4H2BrF (PBE)

Data for a geometry-optimized Rb4H2BrF structure.

Total energy   -92.96 eV for the cell shown

```
data_Rb4H2BrF
_chemical_formula_sum 'Rb16 H8 Br4 F4'
_cell_length_a 8.8339
_cell_length_b 8.8984
_cell_length_c 12.5854
_cell_angle_alpha 90.00
_cell_angle_beta 90.00
_cell_angle_gamma 90.00
_symmetry_space_group_name_H-M 'I m m a'
_symmetry_Int_Tables_number 74
_symmetry_space_group_name_Hall '-I 2b 2'
loop_
_atom_site_label
_atom_site_fract_x
_atom_site_fract_y
_atom_site_fract_z
Rb1 0.0000 0.0260 0.2377
Rb2 0.2448 0.2500 0.0119
H1 0.0000 0.0000 0.5000
H2 0.2500 0.2500 0.2500
Br1 0.2500 0.2500 0.7500
F1 0.0000 0.0000 0.0000
```

## PrH8Ir2Au (PBE)

Data for a geometry-optimized PrH8Ir2Au structure.

Total energy   -159.62 eV for the cell shown

```
data_PrH8Ir2Au
_chemical_formula_sum 'Pr3 H24 Ir6 Au3'
_cell_length_a 4.9256
_cell_length_b 4.9256
_cell_length_c 16.6529
_cell_angle_alpha 90.00
_cell_angle_beta 90.00
_cell_angle_gamma 120.00
_symmetry_space_group_name_H-M 'R -3'
_symmetry_Int_Tables_number 148
_symmetry_space_group_name_Hall '-R 3'
loop_
_atom_site_label
_atom_site_fract_x
_atom_site_fract_y
_atom_site_fract_z
Pr1 0.0000 0.0000 0.0000
H1 0.0000 0.0000 0.3127
H2 0.0297 0.7331 0.8849
Ir1 0.0000 0.0000 0.2136
Au1 0.0000 0.0000 0.5000
```

| no. | spin magnetization (μB per atom) |
| --- | --- |
| 1 | 0.00 |
| 2 | 0.00 |